[1]
VASP calculation (GGA-PBE) on PmThTeC after structural relaxation.

abc: 3.9499 3.9499 7.7034
angles: 90.00 104.85 120.00
Each line ends with the local moment (μB).
Positions (direct):
Pm: 0.5061 0.1510 0.6724  0.10
Th: 0.0902 0.9430 0.0485  0.06
Te: 0.9680 0.3820 0.3651  0.00
C: 0.3136 0.5547 0.8836  -0.01

## Properties
The total magnetic moment comes out at 0.315 μB/f.u. As for the uncorrected formation energy: -3.2 eV per formula unit. For the total energy, the calculation gives -6.945 eV/atom.

---

[2]
VASP calculation (GGA-PBE) on NdTcOs after structural relaxation.

abc: 3.9749 3.9749 8.4145
angles: 103.66 103.66 90.00
Positions (direct):
Os: 0.1096 0.1096 0.2192
Os: 0.8904 0.8904 0.7808
Tc: 0.0000 0.5000 0.0000
Tc: 0.5000 0.0000 0.0000
Nd: 0.6695 0.6695 0.3390
Nd: 0.3305 0.3305 0.6610

## Properties
The total magnetic moment comes out at 0.001 μB/f.u. The value obtained for the formation energy is 0.28 eV/atom. For the total energy, the calculation gives -8.511 eV/atom.

---

[3]
VASP calculation (GGA-PBE) on UNbCr4 after structural relaxation.

abc: 5.0002 5.0002 5.0002
angles: 60.00 60.00 60.00
Each line ends with the local moment (μB).
Positions (direct):
Cr: 0.6251 0.6251 0.1246  0.17
Cr: 0.6251 0.1246 0.6251  0.17
Cr: 0.6251 0.6251 0.6251  0.17
Cr: 0.1246 0.6251 0.6251  0.17
Nb: 0.0000 0.0000 0.0000  0.05
U: 0.2500 0.2500 0.2500  1.02

## Properties
The total magnetic moment comes out at 1.924 μB/f.u. The value obtained for the formation energy is 0.26 eV/atom. For the total energy, the calculation gives -9.720 eV/atom.